# 1
VASP calculation (PBE) on a relaxed ErSc2In3Te6 crystal.

Energy relative to the elements, uncorrected: -0.8823 eV/atom
Spin magnetization: 0.00 Bohr magnetons per cell
Calculated volume: 31.91 Å³/atom

Cell lengths 7.422, 12.843, 8.406 Å; angles 90.00, 107.10, 90.00 degrees
Space group C2/m (No. 12)
Asymmetric unit:
1 Er 0.000 0.000 0.000 [2 per cell]
2 Sc 0.000 0.333 0.000 [4 per cell]
3 In 0.000 0.162 0.500 [4 per cell]
4 In 0.000 0.500 0.500 [2 per cell]
5 Te 0.226 0.500 0.209 [4 per cell]
6 Te 0.243 0.171 0.213 [8 per cell]

=====

# 2
VASP calculation (PBE) on a relaxed Er2ScIn3Te6 crystal.

Energy relative to the elements, uncorrected: -0.9168 eV/atom
Spin magnetization: 0.00 Bohr magnetons per cell
Calculated volume: 32.84 Å³/atom

Cell lengths 7.510, 13.001, 8.451 Å; angles 90.00, 107.23, 90.00 degrees
Space group C2/m (No. 12)
Asymmetric unit:
1 Er 0.000 0.166 0.000 [4 per cell]
2 Sc 0.000 0.500 0.000 [2 per cell]
3 In 0.000 0.000 0.500 [2 per cell]
4 In 0.000 0.330 0.500 [4 per cell]
5 Te 0.233 0.338 0.213 [8 per cell]
6 Te 0.248 0.000 0.217 [4 per cell]